Record 1
## HoMgCdAg (PBE)

Data for an optimized crystal structure of HoMgCdAg.

Lattice parameters (Å, degrees): 4.999 4.999 4.999 60.00 60.00 60.00
Positions (direct):
Mg (0.750, 0.750, 0.750)
Ho (0.250, 0.250, 0.250)
Ag (0.500, 0.500, 0.500)
Cd (0.000, 0.000, 0.000)

## Properties
VASP energy	-2.789	eV per atom
total magnetic moment	0.000	μB/atom
energy of formation from the pure elements	-0.305	eV/atom
crystal system	cubic

---

Record 2
## TbSm6Y2Er (PBE)

Data for an optimized crystal structure of TbSm6Y2Er.

Lattice parameters (Å, degrees): 9.567 8.902 8.902 117.48 93.50 93.50
Positions (direct):
Tb (0.250, 0.972, 0.028)
Tb (0.750, 0.028, 0.972)
Sm (0.056, 0.120, 0.759)
Sm (0.444, 0.241, 0.880)
Sm (0.944, 0.880, 0.241)
Sm (0.556, 0.759, 0.120)
Sm (0.313, 0.988, 0.435)
Sm (0.187, 0.565, 0.012)
Sm (0.687, 0.012, 0.565)
Sm (0.813, 0.435, 0.988)
Sm (0.118, 0.708, 0.488)
Sm (0.382, 0.512, 0.292)
Sm (0.882, 0.292, 0.512)
Sm (0.618, 0.488, 0.708)
Y (0.454, 0.798, 0.700)
Y (0.046, 0.300, 0.202)
Y (0.546, 0.202, 0.300)
Y (0.954, 0.700, 0.798)
Er (0.250, 0.410, 0.590)
Er (0.750, 0.590, 0.410)

## Properties
VASP energy	-4.923	eV per atom
total magnetic moment	0.000	μB/atom
energy of formation from the pure elements	0.121	eV/atom
crystal system	monoclinic